Computed, not measured: a relaxed SiSn2Pb2 crystal at the PBE-GGA level of DFT.

a b c (Å): 7.209 7.209 5.503
angles (deg): 90.00 90.00 90.00
Element x y z (fractional)
Pb 0.184 0.684 0.500
Pb 0.684 0.816 0.500
Pb 0.816 0.316 0.500
Pb 0.316 0.184 0.500
Si 0.000 0.000 0.000
Si 0.500 0.500 0.000
Sn 0.353 0.853 0.000
Sn 0.853 0.647 0.000
Sn 0.647 0.147 0.000
Sn 0.147 0.353 0.000

Its energy relative to the elements, uncorrected is 0.270 eV per atom. The calculation puts the raw total energy at -0.143 Ha/atom. For the density of states at the Fermi level, the calculation gives 7.7 states/eV per cell. For the spin magnetization, the calculation gives 0.00 Bohr magnetons per cell. As for the symmetry: P4/mbm (127).